## AcZn4Hg4 (PBE)

Data for a relaxed AcZn4Hg4 crystal.

a = 9.1560 Å, b = 9.1560 Å, c = 4.9612 Å
α = 90.00°, β = 90.00°, γ = 90.00°
Space group I4/m (No. 87)
Unique sites:
1 Ac 0.0000 0.0000 0.0000
2 Zn 0.1104 0.2131 0.5000
3 Hg 0.0946 0.3565 0.0000

Theoretical density: 10309 kg/m³
DOS at the Fermi energy: 8.633 states/eV per cell
Calculated formation energy: -0.070 eV/atom
Spin magnetization: 0.0 μB per formula unit
Raw total energy: -0.0902 Ry per atom